(1)
# Li2MoPt, relaxed, DFT GGA-PBEsol
# E_tot (eV/atom): -5.67
# V (Å³/f.u.): 58.43
# ΔH_f (0 K) (eV per atom): -0.0032
data_Li2MoPt
_symmetry_space_group_name_H-M 'C 1 m 1'
_symmetry_Int_Tables_number 8
_cell_length_a 8.852
_cell_length_b 2.648
_cell_length_c 5.020
_cell_angle_alpha 90.00
_cell_angle_beta 96.72
_cell_angle_gamma 90.00
loop_
_symmetry_equiv_pos_as_xyz
'x,y,z'
'x,-y,z'
'x+1/2,y+1/2,z'
'x+1/2,-y+1/2,z'
loop_
_atom_site_label
_atom_site_fract_x
_atom_site_fract_y
_atom_site_fract_z
_atom_site_occupancy
Li1 0.000 0.000 0.000 1
Li2 0.242 0.000 0.809 1
Mo1 0.480 0.000 0.478 1
Pt1 0.231 0.500 0.302 1


(2)
# LiMo2Pt, relaxed, DFT GGA-PBEsol
# E_tot (eV/atom): -8.10
# V (Å³/f.u.): 56.67
# ΔH_f (0 K) (eV per atom): 0.0140
data_LiMo2Pt
_symmetry_space_group_name_H-M 'P m m m'
_symmetry_Int_Tables_number 47
_cell_length_a 3.050
_cell_length_b 4.095
_cell_length_c 4.537
_cell_angle_alpha 90.00
_cell_angle_beta 90.00
_cell_angle_gamma 90.00
loop_
_symmetry_equiv_pos_as_xyz
'x,y,z'
'-x,-y,-z'
'-x,-y,z'
'x,y,-z'
'x,-y,-z'
'-x,y,z'
'-x,y,-z'
'x,-y,z'
loop_
_atom_site_label
_atom_site_fract_x
_atom_site_fract_y
_atom_site_fract_z
_atom_site_occupancy
Li1 0.000 0.000 0.000 1
Mo1 0.000 0.500 0.500 1
Mo2 0.500 0.000 0.500 1
Pt1 0.500 0.500 0.000 1


(3)
# LiMo2Pt, relaxed, DFT GGA-PBEsol
# E_tot (eV/atom): -7.69
# V (Å³/f.u.): 57.83
# ΔH_f (0 K) (eV per atom): 0.4275
data_LiMo2Pt
_symmetry_space_group_name_H-M 'F m -3 m'
_symmetry_Int_Tables_number 225
_symmetry_space_group_name_Hall '-F 4 2 3'
_cell_length_a 6.138
_cell_length_b 6.138
_cell_length_c 6.138
_cell_angle_alpha 90.00
_cell_angle_beta 90.00
_cell_angle_gamma 90.00
loop_
_atom_site_label
_atom_site_fract_x
_atom_site_fract_y
_atom_site_fract_z
_atom_site_occupancy
Li1 0.000 0.000 0.000 1
Mo1 0.250 0.250 0.250 1
Pt1 0.000 0.000 0.500 1